1.
Crystalline KInP at its relaxed geometry, computed with PBE.

a = 7.4281 Å, b = 7.4281 Å, c = 9.0671 Å
α = 112.63°, β = 112.63°, γ = 93.49°
Closest atoms and distances in Å follow each position.
Atoms (fractional coordinates):
K (0.6314, 0.6314, 0.2629)  4 P 3.24-3.36
K (0.3686, 0.3686, 0.7371)  4 P 3.24-3.36
K (0.6186, 0.1186, 0.2371)  4 P 3.24-3.36
K (0.8814, 0.3814, 0.7629)  4 P 3.24-3.36
P (0.0172, 0.5172, 0.5000)  2 In 2.56
P (0.7672, 0.7672, 0.0000)  2 In 2.56
P (0.4828, 0.9828, 0.5000)  2 In 2.56
P (0.2328, 0.2328, 0.0000)  2 In 2.56
In (0.1250, 0.3750, 0.2500)  2 P 2.56
In (0.1250, 0.8750, 0.7500)  2 P 2.56
In (0.1250, 0.8750, 0.2500)  2 P 2.56
In (0.6250, 0.8750, 0.7500)  2 P 2.56

Values from the calculation:
Calculated formation energy ... -19 meV per atom
Total moment ... 0.0 μB/cell

2.
Crystalline MnFeIr2 at its relaxed geometry, computed with PBE.

a = 4.6037 Å, b = 4.6037 Å, c = 4.5201 Å
α = 80.22°, β = 80.22°, γ = 34.04°
Closest atoms and distances in Å follow each position.
Atoms (fractional coordinates):
Fe (0.2522, 0.2522, 0.2439)  7 Ir 2.61-2.65, 3 Mn 2.65-2.69, 2 Fe 2.69
Ir (0.9993, 0.9993, 0.0123)  4 Mn 2.60-2.66, 3 Fe 2.61-2.62, 5 Ir 2.69-2.71
Ir (0.7493, 0.7493, 0.7394)  3 Mn 2.61-2.64, 4 Fe 2.61-2.65, 5 Ir 2.69-2.71
Mn (0.4992, 0.4992, 0.5045)  7 Ir 2.60-2.66, 3 Fe 2.65-2.69, 2 Mn 2.69

Values from the calculation:
Calculated formation energy ... -49 meV per atom
Polymorph energy (0 for the lowest one) ... 0.141 eV per atom
Total moment ... 4.1 μB/cell

3.
Crystalline KSr3Pt at its relaxed geometry, computed with PBE.

a = 6.1093 Å, b = 6.1093 Å, c = 6.1093 Å
α = 90.00°, β = 90.00°, γ = 90.00°
Closest atoms and distances in Å follow each position.
Atoms (fractional coordinates):
Sr (0.0000, 0.5000, 0.0000)  2 Pt 3.05
Sr (0.0000, 0.0000, 0.5000)  2 Pt 3.05
Sr (0.5000, 0.0000, 0.0000)  2 Pt 3.05
K (0.5000, 0.5000, 0.5000)  12 Sr 4.32
Pt (0.0000, 0.0000, 0.0000)  6 Sr 3.05

Values from the calculation:
Calculated formation energy ... -405 meV per atom
Polymorph energy (0 for the lowest one) ... 0.000 eV per atom
Total moment ... 0.0 μB/cell

4.
Crystalline InCu2Os at its relaxed geometry, computed with PBE.

a = 4.8102 Å, b = 4.8102 Å, c = 4.8102 Å
α = 132.41°, β = 132.41°, γ = 69.58°
Closest atoms and distances in Å follow each position.
Atoms (fractional coordinates):
Cu (0.0000, 0.0000, 0.0000)  4 In 2.74, 4 Os 2.77, 4 Cu 2.77
Cu (0.2500, 0.7500, 0.5000)  4 Os 2.74, 4 In 2.77, 4 Cu 2.77
In (0.5000, 0.5000, 0.0000)  8 Cu 2.74-2.77, 4 Os 2.77
Os (0.7500, 0.2500, 0.5000)  8 Cu 2.74-2.77, 4 In 2.77

Values from the calculation:
Calculated formation energy ... 391 meV per atom
Total moment ... 0.5 μB/cell

5.
Crystalline AlIn2Cl5 at its relaxed geometry, computed with PBE.

a = 7.2378 Å, b = 7.2378 Å, c = 7.1768 Å
α = 120.29°, β = 120.29°, γ = 89.99°
Closest atoms and distances in Å follow each position.
Atoms (fractional coordinates):
Al (0.9794, 0.9794, 0.9588)  5 Cl 2.18-2.30
In (0.2060, 0.7060, 0.4119)  4 Cl 3.12
In (0.7060, 0.2060, 0.4119)  4 Cl 3.12
Cl (0.8115, 0.2499, 0.0614)  1 Al 2.30
Cl (0.2498, 0.2498, 0.0613)  1 Al 2.30
Cl (0.8115, 0.8115, 0.0613)  1 Al 2.30
Cl (0.2499, 0.8115, 0.0614)  1 Al 2.30
Cl (0.7629, 0.7629, 0.5258)  1 Al 2.18

Values from the calculation:
ΔE_f (raw) ... -113.2 kJ/mol of atoms
Polymorph energy (0 for the lowest one) ... 0.048 eV per atom
Total moment ... 0.0 μB/cell

6.
Crystalline Pm6Zn5Sn at its relaxed geometry, computed with PBE.

a = 5.2130 Å, b = 7.4168 Å, c = 9.0690 Å
α = 114.14°, β = 106.70°, γ = 90.00°
Closest atoms and distances in Å follow each position.
Atoms (fractional coordinates):
Zn (0.3316, 0.8316, 0.6631)  8 Pm 3.12-3.27
Zn (0.6677, 0.6677, 0.3353)  8 Pm 3.17-3.19
Zn (0.0000, 0.5000, 0.0000)  8 Pm 3.16-3.23
Zn (0.3323, 0.3323, 0.6647)  8 Pm 3.17-3.19
Zn (0.6684, 0.1684, 0.3369)  8 Pm 3.12-3.27
Sn (0.0000, 0.0000, 0.0000)  8 Pm 3.24-3.27
Pm (0.1700, 0.4245, 0.3400)  7 Zn 3.12-3.23, 1 Sn 3.27
Pm (0.1700, 0.9155, 0.3400)  7 Zn 3.12-3.23, 1 Sn 3.27
Pm (0.5000, 0.2585, 0.0000)  6 Zn 3.16-3.27, 2 Sn 3.24
Pm (0.5000, 0.7415, 0.0000)  6 Zn 3.16-3.27, 2 Sn 3.24
Pm (0.8300, 0.0845, 0.6600)  7 Zn 3.12-3.23, 1 Sn 3.27
Pm (0.8300, 0.5755, 0.6600)  7 Zn 3.12-3.23, 1 Sn 3.27

Values from the calculation:
Calculated formation energy ... -382 meV per atom
Total moment ... 0.0 μB/cell

7.
Crystalline AlRuW2 at its relaxed geometry, computed with PBE.

a = 2.8102 Å, b = 2.8102 Å, c = 7.7034 Å
α = 90.00°, β = 90.00°, γ = 90.00°
Closest atoms and distances in Å follow each position.
Atoms (fractional coordinates):
Ru (0.5000, 0.5000, 0.7500)  8 W 2.73, 4 Ru 2.81
Al (0.5000, 0.5000, 0.2500)  8 W 2.80, 4 Al 2.81
W (0.0000, 0.0000, 0.9931)  4 Ru 2.73, 4 Al 2.80, 4 W 2.81
W (0.0000, 0.0000, 0.5069)  4 Ru 2.73, 4 Al 2.80, 4 W 2.81

Values from the calculation:
Calculated formation energy ... -17 meV per atom
Total moment ... 0.0 μB/cell

8.
Crystalline K2SbIrCl at its relaxed geometry, computed with PBE.

a = 5.5231 Å, b = 5.5231 Å, c = 5.5239 Å
α = 90.00°, β = 90.00°, γ = 90.00°
Closest atoms and distances in Å follow each position.
Atoms (fractional coordinates):
Sb (0.0000, 0.0000, 0.5000)  2 Cl 2.76
K (0.0000, 0.5000, 0.0000)  2 Cl 2.76
K (0.5000, 0.0000, 0.0000)  2 Cl 2.76
Ir (0.5000, 0.5000, 0.5000)  4 Sb 3.91, 8 K 3.91
Cl (0.0000, 0.0000, 0.0000)  4 K 2.76, 2 Sb 2.76

Values from the calculation:
ΔE_f (raw) ... 46.7 kJ/mol of atoms
Total moment ... 1.1 μB/cell